The following is a PBE+U calculation of crystalline CoTcPO at its relaxed geometry, from OQMD.

Cell and atoms, written as CIF:
```
data_CoTcPO
_chemical_formula_sum 'Co2 Tc2 P2 O2'
_space_group_name_H-M_alt 'P 1'
_space_group_IT_number 1
_space_group_name_Hall 'P 1'
_cell_length_a 3.852
_cell_length_b 3.852
_cell_length_c 8.433
_cell_angle_alpha 90.00
_cell_angle_beta 90.00
_cell_angle_gamma 90.00
loop_
_atom_site_label
_atom_site_fract_x
_atom_site_fract_y
_atom_site_fract_z
Co1 0.250 0.250 0.058
Co2 0.750 0.750 0.942
Tc1 0.250 0.750 0.500
Tc2 0.750 0.250 0.500
P1 0.250 0.250 0.332
P2 0.750 0.750 0.668
O1 0.250 0.750 0.000
O2 0.750 0.250 0.000
```

Computed properties:
Calculated volume (Å³ per atom): 15.64
SG: No. 129
Magnetic moment (μB/f.u.): 2.37
Electronic total energy (eV/atom): -6.8987